# 1
{
  "formula": "ErInBr4",
  "functional": "PBE",
  "state": "relaxed",
  "formation_energy_uncorrected_ev_per_atom": -1.450,
  "total_energy_ry_per_atom": -0.2780,
  "lattice": [[4.2077, 0.0000, 0.0000], [-2.0935, 6.8432, 0.0000], [-0.0012, -1.7919, 8.1672]],
  "species": ["Er", "In", "Br", "Br", "Br", "Br"],
  "frac_coords": [[0.0000, 0.0000, 0.0000], [0.5000, 0.0000, 0.5000], [0.1180, 0.2371, 0.3085], [0.3848, 0.7682, 0.0934], [0.6152, 0.2318, 0.9066], [0.8820, 0.7629, 0.6915]]
}

***

# 2
{
  "formula": "Si2IrRu",
  "functional": "PBE",
  "state": "relaxed",
  "formation_energy_uncorrected_ev_per_atom": -0.163,
  "total_energy_ry_per_atom": -0.5446,
  "lattice": [[1.4436, 0.8335, 7.7790], [-1.4436, 0.8335, 7.7790], [0.0000, -1.6669, 7.7790]],
  "species": ["Si", "Si", "Ir", "Ru"],
  "frac_coords": [[0.0000, 0.0000, 0.0000], [0.2477, 0.2477, 0.2477], [0.7417, 0.7417, 0.7417], [0.5083, 0.5083, 0.5083]]
}

***

# 3
{
  "formula": "CsPm2RuO8",
  "functional": "PBE",
  "state": "relaxed",
  "formation_energy_uncorrected_ev_per_atom": -1.819,
  "total_energy_ry_per_atom": -0.4969,
  "lattice": [[4.7545, 0.0000, 0.0000], [-0.4794, 4.7676, 0.0000], [-0.8251, -0.8521, 8.0378]],
  "species": ["Cs", "Pm", "Pm", "Ru", "O", "O", "O", "O", "O", "O", "O", "O"],
  "frac_coords": [[0.0000, 0.0000, 0.0000], [0.4429, 0.4465, 0.7152], [0.5571, 0.5535, 0.2848], [0.0000, 0.0000, 0.5000], [0.0902, 0.7181, 0.3320], [0.2744, 0.2706, 0.4353], [0.2810, 0.9124, 0.6715], [0.3914, 0.6032, 0.0005], [0.6086, 0.3968, 0.9995], [0.7190, 0.0876, 0.3285], [0.7256, 0.7294, 0.5647], [0.9098, 0.2819, 0.6680]]
}

***

# 4
{
  "formula": "Be3Mo",
  "functional": "PBE",
  "state": "relaxed",
  "e_form_ev_per_atom": 0.126,
  "total_energy_ry_per_atom": -0.3951,
  "lattice": [[2.4902, -3.2885, 0.0000], [2.4902, 3.2885, 0.0000], [0.0000, 0.0000, 2.6392]],
  "species": ["Be", "Be", "Be", "Mo"],
  "frac_coords": [[0.0000, 0.0000, 0.0000], [0.0000, 0.5000, 0.5000], [0.5000, 0.0000, 0.5000], [0.5000, 0.5000, 0.0000]]
}

***

# 5
{
  "formula": "InGa2Cu2",
  "functional": "PBE",
  "state": "relaxed",
  "e_form_ev_per_atom": 0.052,
  "total_energy_ry_per_atom": -0.2459,
  "lattice": [[7.6015, 0.0000, 0.0000], [0.0000, 7.6015, 0.0000], [0.0000, 0.0000, 2.9080]],
  "species": ["In", "In", "Ga", "Ga", "Ga", "Ga", "Cu", "Cu", "Cu", "Cu"],
  "frac_coords": [[0.0000, 0.0000, 0.0000], [0.5000, 0.5000, 0.0000], [0.1726, 0.3274, 0.5000], [0.3274, 0.8274, 0.5000], [0.6726, 0.1726, 0.5000], [0.8274, 0.6726, 0.5000], [0.1210, 0.6210, 0.0000], [0.3790, 0.1210, 0.0000], [0.6210, 0.8790, 0.0000], [0.8790, 0.3790, 0.0000]]
}

***

# 6
{
  "formula": "Pr4Nd5Tm",
  "functional": "PBE",
  "state": "relaxed",
  "e_form_ev_per_atom": 0.020,
  "total_energy_ry_per_atom": -0.3472,
  "lattice": [[3.6894, 0.0000, 0.0000], [0.0000, 3.6894, 0.0000], [0.0000, 0.0000, 25.9070]],
  "species": ["Pr", "Pr", "Pr", "Pr", "Nd", "Nd", "Nd", "Nd", "Nd", "Tm"],
  "frac_coords": [[0.0000, 0.0000, 0.1014], [0.0000, 0.0000, 0.3040], [0.0000, 0.0000, 0.6960], [0.0000, 0.0000, 0.8986], [0.5000, 0.5000, 0.0000], [0.5000, 0.5000, 0.2027], [0.5000, 0.5000, 0.4049], [0.5000, 0.5000, 0.5951], [0.5000, 0.5000, 0.7973], [0.0000, 0.0000, 0.5000]]
}

***

# 7
{
  "formula": "Ni2GeHPd",
  "functional": "PBE",
  "state": "relaxed",
  "total_energy_ry_per_atom": -0.3765,
  "lattice": [[3.7377, 0.0000, 0.0000], [0.0000, 3.7377, 0.0000], [0.0000, 0.0000, 3.8538]],
  "species": ["Ni", "Ni", "Ge", "H", "Pd"],
  "frac_coords": [[0.0000, 0.5000, 0.0000], [0.5000, 0.0000, 0.0000], [0.0000, 0.0000, 0.5000], [0.5000, 0.5000, 0.0000], [0.5000, 0.5000, 0.5000]]
}

***

# 8
{
  "formula": "Sr2LaPmSe4",
  "functional": "PBE",
  "state": "relaxed",
  "formation_energy_uncorrected_ev_per_atom": -1.952,
  "total_energy_ry_per_atom": -0.3914,
  "lattice": [[7.4589, 0.0000, 0.0000], [0.0000, 4.3090, 0.0000], [-2.4861, 0.0000, 7.1908]],
  "species": ["Sr", "Sr", "La", "Pm", "Se", "Se", "Se", "Se"],
  "frac_coords": [[0.0000, 0.0000, 0.0000], [0.5000, 0.5000, 0.0000], [0.0000, 0.5000, 0.5000], [0.5000, 0.0000, 0.5000], [0.2517, 0.0000, 0.7434], [0.2565, 0.5000, 0.2591], [0.7435, 0.5000, 0.7409], [0.7483, 0.0000, 0.2566]]
}